(1)
A geometry-optimized PmNd5Ho12 structure, computed with GGA-PBE.

Space group: C2/m
E_form (eV/atom): 0.0992
Volume (Å³/f.u.): 587
Theoretical density (g/cm³): 8.05
Crystal system: monoclinic

abc: 11.391 10.368 5.951
angles: 90.00 90.00 56.68
Fractional coordinates of all 18 atoms:
Ho: 0.989 0.667 0.052
Ho: 0.844 0.667 0.552
Ho: 0.679 0.000 0.946
Ho: 0.321 0.000 0.054
Ho: 0.156 0.333 0.448
Ho: 0.011 0.333 0.948
Ho: 0.656 0.333 0.052
Ho: 0.344 0.667 0.948
Ho: 0.511 0.333 0.552
Ho: 0.489 0.667 0.448
Ho: 0.822 0.000 0.446
Ho: 0.178 0.000 0.554
Nd: 0.500 0.000 0.500
Nd: 0.666 0.668 0.000
Nd: 0.166 0.668 0.500
Nd: 0.334 0.332 0.000
Nd: 0.834 0.332 0.500
Pm: 0.000 0.000 0.000


(2)
A geometry-optimized Pm4NdHo structure, computed with GGA-PBE.

Space group: C2/m
E_form (eV/atom): 0.1090
Volume (Å³/f.u.): 204
Offset from the most stable computed form (eV/atom): 0.113
Theoretical density (g/cm³): 7.22
Crystal system: monoclinic

abc: 6.392 6.392 6.079
angles: 89.79 89.79 55.38
Fractional coordinates of all 6 atoms:
Pm: 0.674 0.674 0.043
Pm: 0.173 0.173 0.456
Pm: 0.827 0.827 0.544
Pm: 0.326 0.326 0.957
Nd: 0.500 0.500 0.500
Ho: 0.000 0.000 0.000


(3)
A geometry-optimized Pm5Nd3Ho12 structure, computed with GGA-PBE.

Space group: Ia-3d
E_form (eV/atom): 1.0394
Volume (Å³/f.u.): 833
Theoretical density (g/cm³): 6.26
Crystal system: cubic

abc: 16.295 16.295 16.295
angles: 109.47 109.47 109.47
Fractional coordinates of all 80 atoms:
Ho: 0.272 0.858 0.924
Ho: 0.349 0.772 0.414
Ho: 0.086 0.151 0.228
Ho: 0.414 0.272 0.349
Ho: 0.424 0.651 0.065
Ho: 0.728 0.142 0.076
Ho: 0.151 0.065 0.924
Ho: 0.272 0.414 0.849
Ho: 0.349 0.576 0.435
Ho: 0.435 0.076 0.349
Ho: 0.849 0.914 0.272
Ho: 0.076 0.642 0.728
Ho: 0.565 0.642 0.414
Ho: 0.358 0.924 0.772
Ho: 0.086 0.935 0.358
Ho: 0.142 0.414 0.065
Ho: 0.065 0.151 0.424
Ho: 0.065 0.914 0.142
Ho: 0.076 0.435 0.849
Ho: 0.651 0.228 0.586
Ho: 0.414 0.142 0.565
Ho: 0.565 0.924 0.651
Ho: 0.858 0.586 0.935
Ho: 0.914 0.849 0.772
Ho: 0.914 0.065 0.642
Ho: 0.228 0.576 0.642
Ho: 0.651 0.424 0.565
Ho: 0.151 0.086 0.728
Ho: 0.728 0.586 0.151
Ho: 0.586 0.858 0.435
Ho: 0.772 0.349 0.914
Ho: 0.642 0.076 0.228
Ho: 0.849 0.935 0.076
Ho: 0.772 0.424 0.358
Ho: 0.435 0.358 0.586
Ho: 0.586 0.728 0.651
Ho: 0.858 0.272 0.424
Ho: 0.924 0.358 0.272
Ho: 0.228 0.651 0.086
Ho: 0.935 0.086 0.858
Ho: 0.642 0.565 0.914
Ho: 0.142 0.728 0.576
Ho: 0.935 0.849 0.576
Ho: 0.576 0.228 0.142
Ho: 0.924 0.565 0.151
Ho: 0.576 0.349 0.935
Ho: 0.358 0.435 0.086
Ho: 0.424 0.772 0.858
Pm: 0.750 0.125 0.875
Pm: 0.375 0.125 0.750
Pm: 0.250 0.875 0.125
Pm: 0.875 0.250 0.625
Pm: 0.500 0.500 0.000
Pm: 0.250 0.375 0.625
Pm: 0.000 0.000 0.500
Pm: 0.500 0.000 0.000
Pm: 0.000 0.500 0.000
Pm: 0.125 0.750 0.375
Pm: 0.500 0.500 0.500
Pm: 0.625 0.750 0.875
Pm: 0.750 0.625 0.375
Pm: 0.375 0.250 0.125
Pm: 0.875 0.625 0.750
Pm: 0.000 0.500 0.500
Pm: 0.125 0.375 0.250
Pm: 0.000 0.000 0.000
Pm: 0.625 0.875 0.250
Pm: 0.500 0.000 0.500
Nd: 0.750 0.375 0.125
Nd: 0.875 0.750 0.125
Nd: 0.125 0.875 0.750
Nd: 0.750 0.875 0.625
Nd: 0.875 0.125 0.250
Nd: 0.625 0.250 0.375
Nd: 0.625 0.375 0.750
Nd: 0.125 0.250 0.875
Nd: 0.375 0.625 0.250
Nd: 0.250 0.125 0.375
Nd: 0.375 0.750 0.625
Nd: 0.250 0.625 0.875


(4)
A geometry-optimized PmNd4Ho5 structure, computed with GGA-PBE.

Space group: P-1
E_form (eV/atom): 0.1921
Volume (Å³/f.u.): 345
Offset from the most stable computed form (eV/atom): 0.175
Theoretical density (g/cm³): 7.45
Crystal system: triclinic

abc: 3.544 11.286 8.795
angles: 90.15 101.63 90.02
Fractional coordinates of all 10 atoms:
Pm: 0.500 0.000 0.000
Ho: 0.827 0.052 0.651
Ho: 0.500 0.500 0.000
Ho: 0.173 0.948 0.349
Ho: 0.828 0.452 0.654
Ho: 0.172 0.548 0.346
Nd: 0.033 0.748 0.064
Nd: 0.346 0.750 0.686
Nd: 0.967 0.252 0.936
Nd: 0.654 0.250 0.314


(5)
A geometry-optimized Pm2Nd12Ho structure, computed with GGA-PBE.

Space group: Cmme
E_form (eV/atom): 0.1510
Volume (Å³/f.u.): 532
Theoretical density (g/cm³): 6.83
Crystal system: orthorhombic

abc: 6.872 6.872 25.150
angles: 90.00 90.00 116.47
Fractional coordinates of all 30 atoms:
Pm: 0.500 0.000 0.267
Pm: 0.500 0.000 0.727
Pm: 0.000 0.500 0.733
Pm: 0.000 0.500 0.273
Nd: 0.000 0.000 0.674
Nd: 0.752 0.252 0.128
Nd: 0.748 0.248 0.872
Nd: 0.500 0.500 0.801
Nd: 0.771 0.271 0.583
Nd: 0.749 0.751 0.074
Nd: 0.751 0.749 0.926
Nd: 0.000 0.000 0.326
Nd: 0.500 0.500 0.674
Nd: 0.775 0.725 0.440
Nd: 0.500 0.500 0.326
Nd: 0.249 0.251 0.926
Nd: 0.000 0.000 0.801
Nd: 0.229 0.729 0.583
Nd: 0.729 0.229 0.417
Nd: 0.248 0.748 0.128
Nd: 0.725 0.775 0.560
Nd: 0.252 0.752 0.872
Nd: 0.275 0.225 0.560
Nd: 0.225 0.275 0.440
Nd: 0.251 0.249 0.074
Nd: 0.500 0.500 0.199
Nd: 0.271 0.771 0.417
Nd: 0.000 0.000 0.199
Ho: 0.000 0.500 0.001
Ho: 0.500 0.000 0.999


(6)
A geometry-optimized Pm2Nd3Ho7 structure, computed with GGA-PBE.

Space group: P2/m
E_form (eV/atom): 0.3053
Volume (Å³/f.u.): 423
Offset from the most stable computed form (eV/atom): 0.220
Theoretical density (g/cm³): 7.36
Crystal system: monoclinic

abc: 5.662 6.090 12.328
angles: 95.35 90.00 90.00
Fractional coordinates of all 12 atoms:
Ho: 0.000 0.000 0.000
Ho: 0.000 0.455 0.172
Ho: 0.500 0.775 0.561
Ho: 0.500 0.908 0.841
Ho: 0.000 0.545 0.828
Ho: 0.500 0.092 0.159
Ho: 0.500 0.225 0.439
Pm: 0.500 0.361 0.708
Pm: 0.500 0.639 0.292
Nd: 0.500 0.500 0.000
Nd: 0.000 0.027 0.678
Nd: 0.000 0.973 0.322


(7)
A geometry-optimized Pm2Nd5Ho3 structure, computed with GGA-PBE.

Space group: Ibam
E_form (eV/atom): 0.3651
Volume (Å³/f.u.): 360
Offset from the most stable computed form (eV/atom): 0.182
Theoretical density (g/cm³): 6.95
Crystal system: orthorhombic

abc: 6.882 12.500 12.500
angles: 44.54 74.02 74.02
Fractional coordinates of all 20 atoms:
Ho: 0.619 0.634 0.128
Ho: 0.119 0.128 0.634
Ho: 0.881 0.872 0.366
Ho: 0.750 0.000 0.000
Ho: 0.381 0.366 0.872
Ho: 0.250 0.000 0.000
Nd: 0.503 0.247 0.247
Nd: 0.627 0.277 0.469
Nd: 0.250 0.500 0.500
Nd: 0.750 0.500 0.500
Nd: 0.997 0.753 0.753
Nd: 0.373 0.723 0.531
Nd: 0.127 0.469 0.277
Nd: 0.873 0.531 0.723
Nd: 0.497 0.753 0.753
Nd: 0.003 0.247 0.247
Pm: 0.378 0.024 0.219
Pm: 0.122 0.781 0.976
Pm: 0.878 0.219 0.024
Pm: 0.622 0.976 0.781


(8)
A geometry-optimized Pm5Nd4Ho3 structure, computed with GGA-PBE.

Space group: C2/m
E_form (eV/atom): 0.2106
Volume (Å³/f.u.): 415
Theoretical density (g/cm³): 7.18
Crystal system: monoclinic

abc: 5.997 8.728 9.806
angles: 105.98 72.20 69.91
Fractional coordinates of all 12 atoms:
Pm: 0.628 0.946 0.798
Pm: 0.216 0.456 0.112
Pm: 0.784 0.544 0.888
Pm: 0.372 0.054 0.202
Pm: 0.500 0.500 0.500
Ho: 0.481 0.311 0.728
Ho: 0.519 0.689 0.272
Ho: 0.000 0.500 0.500
Nd: 0.839 0.944 0.379
Nd: 0.859 0.223 0.058
Nd: 0.161 0.056 0.621
Nd: 0.141 0.777 0.942


(9)
A geometry-optimized Pm4NdHo4 structure, computed with GGA-PBE.

Space group: P-1
E_form (eV/atom): 0.0164
Volume (Å³/f.u.): 296
Theoretical density (g/cm³): 7.76
Crystal system: triclinic

abc: 10.796 9.523 10.796
angles: 75.48 93.11 145.02
Fractional coordinates of all 18 atoms:
Nd: 0.554 0.639 0.196
Nd: 0.446 0.361 0.804
Ho: 0.779 0.694 0.473
Ho: 0.112 0.529 0.637
Ho: 0.332 0.584 0.915
Ho: 0.443 0.861 0.308
Ho: 0.888 0.471 0.363
Ho: 0.221 0.306 0.527
Ho: 0.668 0.416 0.085
Ho: 0.557 0.139 0.692
Pm: 0.999 0.250 0.251
Pm: 0.334 0.082 0.418
Pm: 0.111 0.027 0.140
Pm: 0.777 0.194 0.972
Pm: 0.889 0.973 0.860
Pm: 0.666 0.918 0.582
Pm: 0.001 0.750 0.749
Pm: 0.223 0.806 0.028


(10)
A geometry-optimized Pm4Nd3Ho3 structure, computed with GGA-PBE.

Space group: Amm2
E_form (eV/atom): 0.1120
Volume (Å³/f.u.): 340
Theoretical density (g/cm³): 7.36
Crystal system: orthorhombic

abc: 3.796 9.468 9.468
angles: 90.49 90.00 90.00
Fractional coordinates of all 10 atoms:
Ho: 0.500 0.171 0.829
Ho: 0.000 0.003 0.505
Ho: 0.000 0.495 0.997
Pm: 0.000 0.873 0.869
Pm: 0.000 0.630 0.370
Pm: 0.000 0.131 0.127
Pm: 0.000 0.368 0.632
Nd: 0.500 0.329 0.330
Nd: 0.500 0.830 0.170
Nd: 0.500 0.670 0.671


(11)
A geometry-optimized PmNd6Ho4 structure, computed with GGA-PBE.

Space group: I-42m
E_form (eV/atom): 0.2911
Volume (Å³/f.u.): 383
Offset from the most stable computed form (eV/atom): 0.142
Theoretical density (g/cm³): 7.25
Crystal system: tetragonal

abc: 9.976 9.976 9.976
angles: 55.64 141.46 141.46
Fractional coordinates of all 11 atoms:
Nd: 0.000 0.458 0.816
Nd: 0.000 0.816 0.458
Nd: 0.500 0.000 0.500
Nd: 0.500 0.500 0.000
Nd: 0.642 0.184 0.184
Nd: 0.358 0.542 0.542
Pm: 0.000 0.000 0.000
Ho: 0.000 0.010 0.640
Ho: 0.000 0.640 0.010
Ho: 0.370 0.360 0.360
Ho: 0.630 0.990 0.990


(12)
A geometry-optimized PmNd12Ho3 structure, computed with GGA-PBE.

Space group: P4/mmm
E_form (eV/atom): 0.0137
Volume (Å³/f.u.): 549
Theoretical density (g/cm³): 7.17
Crystal system: tetragonal

abc: 5.163 5.163 20.599
angles: 90.00 90.00 90.00
Fractional coordinates of all 16 atoms:
Ho: 0.000 0.000 0.749
Ho: 0.000 0.000 0.251
Ho: 0.000 0.000 0.500
Nd: 0.000 0.500 0.127
Nd: 0.000 0.500 0.873
Nd: 0.500 0.500 0.252
Nd: 0.500 0.500 0.748
Nd: 0.500 0.500 0.500
Nd: 0.500 0.000 0.624
Nd: 0.500 0.000 0.376
Nd: 0.000 0.500 0.376
Nd: 0.000 0.500 0.624
Nd: 0.500 0.000 0.127
Nd: 0.500 0.000 0.873
Nd: 0.500 0.500 0.000
Pm: 0.000 0.000 0.000


(13)
A geometry-optimized Pm10Nd4Ho structure, computed with GGA-PBE.

Space group: I4/m
E_form (eV/atom): 0.7195
Volume (Å³/f.u.): 605
Theoretical density (g/cm³): 6.02
Crystal system: tetragonal

abc: 7.852 9.614 9.614
angles: 80.40 65.90 65.90
Fractional coordinates of all 15 atoms:
Nd: 0.399 0.802 0.400
Nd: 0.201 0.400 0.198
Nd: 0.799 0.600 0.802
Nd: 0.601 0.198 0.600
Pm: 0.851 0.703 0.100
Pm: 0.653 0.297 0.900
Pm: 0.149 0.297 0.900
Pm: 0.951 0.900 0.703
Pm: 0.049 0.100 0.297
Pm: 0.250 0.500 0.500
Pm: 0.347 0.703 0.100
Pm: 0.750 0.500 0.500
Pm: 0.447 0.900 0.703
Pm: 0.553 0.100 0.297
Ho: 0.000 0.000 0.000


(14)
A geometry-optimized PmNd2Ho3 structure, computed with GGA-PBE.

Space group: C2/m
E_form (eV/atom): 0.1212
Volume (Å³/f.u.): 201
Offset from the most stable computed form (eV/atom): 0.021
Theoretical density (g/cm³): 7.65
Crystal system: monoclinic

abc: 3.513 10.334 11.832
angles: 108.30 98.54 90.00
Fractional coordinates of all 12 atoms:
Ho: 0.559 0.446 0.117
Ho: 0.069 0.761 0.138
Ho: 0.441 0.554 0.883
Ho: 0.305 0.285 0.611
Ho: 0.931 0.239 0.862
Ho: 0.695 0.715 0.389
Nd: 0.933 0.862 0.865
Nd: 0.309 0.628 0.619
Nd: 0.691 0.372 0.381
Nd: 0.067 0.138 0.135
Pm: 0.312 0.964 0.624
Pm: 0.688 0.036 0.376


(15)
A geometry-optimized PmNd10Ho4 structure, computed with GGA-PBE.

Space group: I4/m
E_form (eV/atom): 0.6924
Volume (Å³/f.u.): 599
Theoretical density (g/cm³): 6.23
Crystal system: tetragonal

abc: 7.815 9.590 9.590
angles: 80.44 65.96 65.96
Fractional coordinates of all 15 atoms:
Nd: 0.151 0.302 0.898
Nd: 0.950 0.898 0.698
Nd: 0.649 0.302 0.898
Nd: 0.351 0.698 0.102
Nd: 0.750 0.500 0.500
Nd: 0.250 0.500 0.500
Nd: 0.849 0.698 0.102
Nd: 0.453 0.898 0.698
Nd: 0.547 0.102 0.302
Nd: 0.050 0.102 0.302
Ho: 0.400 0.800 0.400
Ho: 0.200 0.400 0.200
Ho: 0.800 0.600 0.800
Ho: 0.600 0.200 0.600
Pm: 0.000 0.000 0.000


(16)
A geometry-optimized Pm3Nd7Ho structure, computed with GGA-PBE.

Space group: C2/m
E_form (eV/atom): 0.2294
Volume (Å³/f.u.): 396
Theoretical density (g/cm³): 6.75
Crystal system: monoclinic

abc: 6.533 7.836 7.836
angles: 82.14 86.30 86.30
Fractional coordinates of all 11 atoms:
Nd: 0.739 0.918 0.572
Nd: 0.214 0.760 0.760
Nd: 0.261 0.428 0.082
Nd: 0.261 0.082 0.428
Nd: 0.739 0.572 0.918
Nd: 0.786 0.240 0.240
Nd: 0.000 0.500 0.500
Pm: 0.000 0.171 0.829
Pm: 0.500 0.000 0.000
Pm: 0.000 0.829 0.171
Ho: 0.500 0.500 0.500